Entry 1:
Compound: Li2Fe3CuO8
Source: Alexandria
Functional: PBE+U
Structure: relaxed

Cell: 5.8739 5.8739 5.8739 Å, 58.87 58.87 58.87°
Each line ends with the local moment (μB).
Fractional positions:
Li (0.1203, 0.1203, 0.1203)  -0.01
O (0.7108, 0.2492, 0.2492)  -0.08
O (0.2624, 0.2624, 0.2624)  -0.21
O (0.2492, 0.2492, 0.7108)  -0.08
O (0.2492, 0.7108, 0.2492)  -0.08
Cu (0.8833, 0.8833, 0.8833)  0.38
O (0.7463, 0.7463, 0.2901)  0.04
Fe (0.0057, 0.4994, 0.4994)  2.40
O (0.2901, 0.7463, 0.7463)  0.04
O (0.7463, 0.2901, 0.7463)  0.04
Li (0.4969, 0.4969, 0.4969)  0.01
Fe (0.4994, 0.4994, 0.0057)  2.40
O (0.7406, 0.7406, 0.7406)  -0.19
Fe (0.4994, 0.0057, 0.4994)  2.40

**Crystal system**: trigonal
**M_tot**: 7.045 μB/f.u.
**Space-group type**: R3m, No. 160
**Energy above the most stable polymorph in this dataset**: 0.123 eV/atom
**E_tot**: -79.7 eV for the cell shown
**Calculated volume**: 9.973 A^3/atom

---

Entry 2:
Compound: Li5Fe3Cu2O10
Source: Alexandria
Functional: PBE+U
Structure: relaxed

Cell: 6.5502 6.2224 7.0766 Å, 97.50 76.44 130.90°
Each line ends with the local moment (μB).
Fractional positions:
O (0.0085, 0.7579, 0.4075)  0.04
O (0.5406, 0.1370, 0.0355)  0.17
Cu (0.4105, 0.6115, 0.1723)  0.24
O (0.1850, 0.5044, 0.7088)  0.06
Fe (0.9346, 0.8975, 0.2021)  3.76
Fe (0.0000, 0.5000, 0.0000)  3.76
Li (0.9043, 0.2759, 0.3615)  0.00
Li (0.4371, 0.0463, 0.3390)  0.01
O (0.9915, 0.2421, 0.5925)  0.04
O (0.8150, 0.4956, 0.2912)  0.06
Cu (0.5895, 0.3885, 0.8277)  0.24
O (0.9027, 0.7258, 0.9169)  0.11
O (0.3931, 0.1473, 0.6320)  0.07
O (0.0973, 0.2742, 0.0831)  0.11
Fe (0.0654, 0.1025, 0.7979)  3.76
O (0.6069, 0.8527, 0.3680)  0.07
Li (0.5629, 0.9537, 0.6610)  0.01
Li (0.0957, 0.7241, 0.6385)  0.00
Li (0.5000, 0.5000, 0.5000)  0.00
O (0.4594, 0.8630, 0.9645)  0.17

**Crystal system**: triclinic
**M_tot**: 12.991 μB/f.u.
**Space-group type**: P-1, No. 2
**Energy above the most stable polymorph in this dataset**: 0.291 eV/atom
**E_tot**: -105.2 eV for the cell shown
**Calculated volume**: 10.591 A^3/atom